No. 1
First-principles (PBE) data for crystalline Cs2Hf3Te8 at its relaxed geometry, as listed in Alexandria via LeMat-Bulk.

Unit cell a=7.0160 b=8.1522 c=10.6519 alpha=112.50 beta=103.38 gamma=90.00
Fractional positions:
Te  0.8939  0.0901  0.1802
Te  0.6090  0.6700  0.8203
Te  0.3910  0.3300  0.1797
Te  0.1023  0.4120  0.8240
Te  0.1061  0.9099  0.8198
Te  0.6090  0.1503  0.8203
Te  0.8977  0.5880  0.1760
Te  0.3910  0.8497  0.1797
Cs  0.6841  0.7474  0.4948
Cs  0.3159  0.2526  0.5052
Hf  0.0000  0.2568  0.0000
Hf  0.0000  0.7432  0.0000
Hf  0.5000  0.0000  0.0000

Output
The calculation puts the uncorrected formation energy at -0.795 eV/atom. The crystal system is monoclinic.

---

No. 2
First-principles (PBE) data for crystalline CsHfTe2 at its relaxed geometry, as listed in Alexandria via LeMat-Bulk.

Unit cell a=6.6906 b=6.6906 c=8.2092 alpha=65.95 beta=65.95 gamma=90.00
Fractional positions:
Hf  0.0000  0.0000  0.0000
Hf  0.7500  0.2500  0.5000
Te  0.7901  0.7901  0.4198
Te  0.5401  0.0401  0.9198
Te  0.2099  0.2099  0.5802
Te  0.9599  0.4599  0.0802
Cs  0.2500  0.7500  0.5000
Cs  0.5000  0.5000  0.0000

Output
The calculation puts the uncorrected formation energy at -0.396 eV/atom. The crystal system is tetragonal.

---

No. 3
First-principles (PBE) data for crystalline Cs2HfTe at its relaxed geometry, as listed in Alexandria via LeMat-Bulk.

Unit cell a=6.4519 b=6.4519 c=6.4519 alpha=60.00 beta=60.00 gamma=60.00
Fractional positions:
Cs  0.2500  0.2500  0.2500
Cs  0.7500  0.7500  0.7500
Hf  0.5000  0.5000  0.5000
Te  0.0000  0.0000  0.0000

Output
The calculation puts the uncorrected formation energy at 0.687 eV/atom. The energy relative to the lowest polymorph listed for this composition is 1.730 eV/f.u. The crystal system is cubic.

---

No. 4
First-principles (PBE) data for crystalline CsHf2Te2 at its relaxed geometry, as listed in Alexandria via LeMat-Bulk.

Unit cell a=4.2134 b=4.2134 c=9.5918 alpha=77.31 beta=77.31 gamma=90.00
Fractional positions:
Te  0.3661  0.3661  0.2677
Te  0.6339  0.6339  0.7323
Cs  0.0000  0.0000  0.0000
Hf  0.2500  0.7500  0.5000
Hf  0.7500  0.2500  0.5000

Output
The calculation puts the uncorrected formation energy at -0.569 eV/atom. The crystal system is tetragonal.

---

No. 5
First-principles (PBE) data for crystalline CsHfTe2 at its relaxed geometry, as listed in Alexandria via LeMat-Bulk.

Unit cell a=10.9775 b=3.9758 c=7.8517 alpha=90.00 beta=112.66 gamma=100.45
Fractional positions:
Te  0.1133  0.5307  0.8647
Te  0.4179  0.6832  0.7162
Te  0.7880  0.3685  0.1405
Te  0.4834  0.2160  0.2889
Hf  0.3175  0.1329  0.9081
Hf  0.5838  0.7663  0.0969
Cs  0.7790  0.8631  0.6877
Cs  0.1226  0.0359  0.3170

Output
The calculation puts the uncorrected formation energy at -0.863 eV/atom. The crystal system is triclinic.

---

No. 6
First-principles (PBE) data for crystalline Cs4HfTe4 at its relaxed geometry, as listed in Alexandria via LeMat-Bulk.

Unit cell a=7.8414 b=9.4975 c=7.8414 alpha=65.62 beta=90.00 gamma=114.38
Fractional positions:
Te  0.3047  0.2093  0.0954
Te  0.9046  0.2093  0.6953
Te  0.0954  0.7907  0.9046
Te  0.6953  0.7907  0.3047
Cs  0.4418  0.2827  0.5582
Cs  0.1591  0.7173  0.4418
Cs  0.8409  0.2827  0.1591
Cs  0.5582  0.7173  0.8409
Hf  0.0000  0.0000  0.0000

Output
The calculation puts the uncorrected formation energy at -1.067 eV/atom. The energy relative to the lowest polymorph listed for this composition is 0.000 eV/f.u. The crystal system is tetragonal.

---

No. 7
First-principles (PBE) data for crystalline Cs2Hf3Te6 at its relaxed geometry, as listed in Alexandria via LeMat-Bulk.

Unit cell a=7.0779 b=7.0808 c=9.6013 alpha=82.90 beta=75.67 gamma=60.01
Fractional positions:
Hf  0.3311  0.3377  0.0000
Hf  0.6689  0.6623  0.0000
Hf  0.0000  0.0000  0.0000
Cs  0.1661  0.6678  0.5000
Cs  0.8339  0.3322  0.5000
Te  0.0662  0.3293  0.8145
Te  0.3955  0.6707  0.8145
Te  0.9338  0.6707  0.1855
Te  0.2756  0.0000  0.1839
Te  0.7244  0.0000  0.8161
Te  0.6045  0.3293  0.1855

Output
The calculation puts the uncorrected formation energy at -0.913 eV/atom. The crystal system is monoclinic.

---

No. 8
First-principles (PBE) data for crystalline CsHfTe2 at its relaxed geometry, as listed in Alexandria via LeMat-Bulk.

Unit cell a=10.2694 b=4.0057 c=8.9191 alpha=64.17 beta=106.72 gamma=90.07
Fractional positions:
Hf  0.5813  0.4949  0.6617
Hf  0.3200  0.2069  0.4419
Te  0.1072  0.7778  0.3677
Te  0.4406  0.8489  0.8120
Te  0.4608  0.8529  0.2916
Te  0.7942  0.9240  0.7359
Cs  0.1299  0.2952  0.8702
Cs  0.7715  0.4065  0.2336

Output
The calculation puts the uncorrected formation energy at -0.866 eV/atom. The crystal system is triclinic.